Computed, not measured: a relaxed structure of KSnTe2S6 at the PBE-GGA level of DFT.

Lattice parameters (Å, degrees): 15.5862 9.8936 9.5868 90.00 123.40 90.00
Last column: nearest neighbours and their distance in Å.
Space group C2/c (No. 15)
One atom of each set of equivalent atoms:
K 0.0000 0.1655 0.2500 [4 per cell]  8 S 3.31-3.62
Sn 0.0000 0.2917 0.7500 [4 per cell]  6 S 2.70-2.91
Te 0.2279 0.4228 0.7428 [8 per cell]  3 S 2.38-2.43
S 0.1007 0.1287 0.0191 [8 per cell]  1 Te 2.43, 1 Sn 2.70
S 0.1190 0.4845 0.3241 [8 per cell]  1 Te 2.41
S 0.1429 0.2103 0.6594 [8 per cell]  1 Te 2.38

Its crystal system is monoclinic. The value obtained for the total energy is -3.809 eV per atom. The calculation puts the uncorrected formation energy at -0.1940 eV per atom.